Computed, not measured: a geometry-optimized KBaLi2 structure at the PBE level of DFT.

The energy of formation from the pure elements is 0.18 eV per atom. Its total magnetization is 0.000 μB/atom. The total energy comes out at -1.528 eV/atom. The relative energy among the computed polymorphs comes out at 0.0828 eV per atom. The density of states at the Fermi level comes out at 6.52 states/eV/cell.

It has space group R-3m (No. 166, hexagonal axes), with a = 4.1738 Å, b = 4.1738 Å, c = 36.0665 Å, α = 90.00°, β = 90.00° and γ = 120.00°. The distinct sites, in fractional coordinates, are K at (0.0000, 0.0000, 0.0000), Ba at (0.0000, 0.0000, 0.5000) and Li at (0.0000, 0.0000, 0.2477).